Here is Ni3IrBr after structural relaxation from the Alexandria database. Energies are from GGA-PBE.

Computed properties:
Formation energy from raw total energies (eV per atom): 1.17

a b c (Å): 4.624 4.624 4.624
angles (deg): 90.00 90.00 90.00
Fractional coordinates of all 5 atoms:
Ni (0.000, 0.000, 0.500)
Ni (0.000, 0.500, 0.000)
Ni (0.500, 0.000, 0.000)
Ir (0.000, 0.000, 0.000)
Br (0.500, 0.500, 0.500)